# SrCa2BiRh

Crystalline SrCa2BiRh at its relaxed geometry (PBE, Alexandria via LeMat-Bulk).

Computed properties:
Total energy (eV for the cell shown): -19.2
ΔH_f (0 K) (eV per atom): -0.47
Space group: No. 123

a b c (Å): 5.405 5.405 5.671
angles (deg): 90.00 90.00 90.00
Element x y z (fractional)
Sr 0.000 0.000 0.000
Ca 0.000 0.500 0.500
Ca 0.500 0.000 0.500
Bi 0.500 0.500 0.000
Rh 0.000 0.000 0.500

---

# Tc2AgHg

Crystalline Tc2AgHg at its relaxed geometry (PBE, Alexandria via LeMat-Bulk).

Computed properties:
Total energy (eV for the cell shown): -42.8
ΔH_f (0 K) (eV per atom): 0.62
Space group: No. 119

a b c (Å): 4.091 4.091 7.891
angles (deg): 90.00 90.00 90.00
Element x y z (fractional)
Tc 0.000 0.000 0.000
Tc 0.000 0.500 0.250
Tc 0.500 0.000 0.750
Tc 0.500 0.500 0.500
Ag 0.000 0.500 0.750
Ag 0.500 0.000 0.250
Hg 0.000 0.000 0.500
Hg 0.500 0.500 0.000

---

# Nb2Pd

Crystalline Nb2Pd at its relaxed geometry (PBE, Alexandria via LeMat-Bulk).

Computed properties:
Total energy (eV for the cell shown): -50.9
ΔH_f (0 K) (eV per atom): -0.04
Space group: No. 12

a b c (Å): 4.855 4.681 5.228
angles (deg): 90.00 117.55 90.00
Element x y z (fractional)
Nb 0.168 0.000 0.336
Nb 0.332 0.500 0.664
Nb 0.668 0.500 0.336
Nb 0.832 0.000 0.664
Pd 0.000 0.500 0.000
Pd 0.500 0.000 0.000

---

# CaYSbPd

Crystalline CaYSbPd at its relaxed geometry (PBE, Alexandria via LeMat-Bulk).

Computed properties:
Total energy (eV for the cell shown): -84.4
Formation energy from raw total energies (eV/f.u.): -3.311
Space group: No. 216

a b c (Å): 7.325 7.325 7.325
angles (deg): 90.00 90.00 90.00
Element x y z (fractional)
Ca 0.000 0.000 0.000
Ca 0.000 0.500 0.500
Ca 0.500 0.000 0.500
Ca 0.500 0.500 0.000
Y 0.000 0.000 0.500
Y 0.000 0.500 0.000
Y 0.500 0.000 0.000
Y 0.500 0.500 0.500
Sb 0.250 0.250 0.250
Sb 0.250 0.750 0.750
Sb 0.750 0.250 0.750
Sb 0.750 0.750 0.250
Pd 0.250 0.250 0.750
Pd 0.250 0.750 0.250
Pd 0.750 0.250 0.250
Pd 0.750 0.750 0.750

---

# NdDyPd2

Crystalline NdDyPd2 at its relaxed geometry (PBE, Alexandria via LeMat-Bulk).

Computed properties:
Total energy (eV for the cell shown): -46.4
ΔH_f (0 K) (eV per atom): -0.86
Space group: No. 38
Excess energy over the best structure of this formula in the dataset (meV per atom): 0.0

a b c (Å): 4.594 3.828 10.716
angles (deg): 90.00 90.00 90.00
Element x y z (fractional)
Nd 0.000 0.000 0.000
Nd 0.000 0.500 0.500
Dy 0.500 0.000 0.274
Dy 0.500 0.500 0.774
Pd 0.000 0.000 0.726
Pd 0.000 0.500 0.226
Pd 0.500 0.000 0.554
Pd 0.500 0.500 0.054

---

# ScTl

Crystalline ScTl at its relaxed geometry (PBE, Alexandria via LeMat-Bulk).

Computed properties:
Total energy (eV for the cell shown): -34.4
ΔH_f (0 K) (eV per atom): 0.05
Space group: No. 225

a b c (Å): 5.965 5.965 5.965
angles (deg): 90.00 90.00 90.00
Element x y z (fractional)
Sc 0.000 0.000 0.000
Sc 0.000 0.500 0.500
Sc 0.500 0.000 0.500
Sc 0.500 0.500 0.000
Tl 0.000 0.000 0.500
Tl 0.000 0.500 0.000
Tl 0.500 0.000 0.000
Tl 0.500 0.500 0.500

---

# ScTlTe2

Crystalline ScTlTe2 at its relaxed geometry (PBE, Alexandria via LeMat-Bulk).

Computed properties:
Total energy (eV for the cell shown): -55.9
Formation energy from raw total energies (eV/f.u.): -3.664
Space group: No. 160

a b c (Å): 4.239 4.239 24.799
angles (deg): 90.00 90.00 120.00
Element x y z (fractional)
Sc 0.000 0.000 0.000
Sc 0.333 0.667 0.667
Sc 0.667 0.333 0.333
Tl 0.000 0.000 0.832
Tl 0.333 0.667 0.499
Tl 0.667 0.333 0.166
Te 0.000 0.000 0.400
Te 0.000 0.000 0.599
Te 0.333 0.667 0.066
Te 0.333 0.667 0.266
Te 0.667 0.333 0.733
Te 0.667 0.333 0.932

---

# Rb2Y2Pt

Crystalline Rb2Y2Pt at its relaxed geometry (PBE, Alexandria via LeMat-Bulk).

Computed properties:
Total energy (eV for the cell shown): -42.1
ΔH_f (0 K) (eV per atom): -0.03
Space group: No. 127
Excess energy over the best structure of this formula in the dataset (meV per atom): 0.0

a b c (Å): 7.450 7.450 7.254
angles (deg): 90.00 90.00 90.00
Element x y z (fractional)
Rb 0.190 0.310 0.000
Rb 0.310 0.810 0.000
Rb 0.690 0.190 0.000
Rb 0.810 0.690 0.000
Y 0.177 0.677 0.500
Y 0.323 0.177 0.500
Y 0.677 0.823 0.500
Y 0.823 0.323 0.500
Pt 0.000 0.000 0.500
Pt 0.500 0.500 0.500

---

# In4I2ClF

Crystalline In4I2ClF at its relaxed geometry (PBE, Alexandria via LeMat-Bulk).

Computed properties:
Total energy (eV for the cell shown): -48.1
Formation energy from raw total energies (eV/f.u.): -6.298
Space group: No. 74

a b c (Å): 9.247 9.247 9.247
angles (deg): 121.43 117.78 90.71
Element x y z (fractional)
In 0.207 0.189 0.017
In 0.262 0.247 0.485
In 0.262 0.776 0.015
In 0.328 0.811 0.517
In 0.672 0.189 0.483
In 0.738 0.224 0.985
In 0.738 0.753 0.515
In 0.793 0.811 0.983
I 0.000 0.000 0.500
I 0.000 0.500 0.000
I 0.000 0.500 0.500
I 0.500 0.500 0.000
Cl 0.500 0.000 0.000
Cl 0.500 0.500 0.500
F 0.000 0.000 0.000
F 0.500 0.000 0.500

---

# TbNd2Ta

Crystalline TbNd2Ta at its relaxed geometry (PBE, Alexandria via LeMat-Bulk).

Computed properties:
Total energy (eV for the cell shown): -70.1
ΔH_f (0 K) (eV per atom): 0.66
Space group: No. 166

a b c (Å): 3.318 3.318 36.055
angles (deg): 90.00 90.00 120.00
Element x y z (fractional)
Tb 0.000 0.000 0.000
Tb 0.333 0.667 0.667
Tb 0.667 0.333 0.333
Nd 0.000 0.000 0.418
Nd 0.000 0.000 0.582
Nd 0.333 0.667 0.085
Nd 0.333 0.667 0.249
Nd 0.667 0.333 0.751
Nd 0.667 0.333 0.915
Ta 0.000 0.000 0.500
Ta 0.333 0.667 0.167
Ta 0.667 0.333 0.833

---

# ReRh7

Crystalline ReRh7 at its relaxed geometry (PBE, Alexandria via LeMat-Bulk).

Computed properties:
Total energy (eV for the cell shown): -128.8
ΔH_f (0 K) (eV per atom): -0.06
Space group: No. 65
Excess energy over the best structure of this formula in the dataset (meV per atom): 0.0

a b c (Å): 5.426 10.907 3.850
angles (deg): 90.00 90.00 90.00
Element x y z (fractional)
Re 0.000 0.000 0.000
Re 0.500 0.500 0.000
Rh 0.000 0.245 0.000
Rh 0.000 0.500 0.000
Rh 0.000 0.755 0.000
Rh 0.246 0.123 0.500
Rh 0.246 0.877 0.500
Rh 0.254 0.377 0.500
Rh 0.254 0.623 0.500
Rh 0.500 0.000 0.000
Rh 0.500 0.255 0.000
Rh 0.500 0.745 0.000
Rh 0.746 0.377 0.500
Rh 0.746 0.623 0.500
Rh 0.754 0.123 0.500
Rh 0.754 0.877 0.500

---

# YMg6Al

Crystalline YMg6Al at its relaxed geometry (PBE, Alexandria via LeMat-Bulk).

Computed properties:
Total energy (eV for the cell shown): -40.1
ΔH_f (0 K) (eV per atom): -0.04
Space group: No. 38
Excess energy over the best structure of this formula in the dataset (meV per atom): 0.0

a b c (Å): 5.104 6.238 11.726
angles (deg): 90.00 90.00 90.00
Element x y z (fractional)
Y 0.000 0.000 0.000
Y 0.000 0.500 0.500
Mg 0.000 0.248 0.747
Mg 0.000 0.252 0.247
Mg 0.000 0.748 0.247
Mg 0.000 0.752 0.747
Mg 0.500 0.000 0.162
Mg 0.500 0.000 0.638
Mg 0.500 0.249 0.399
Mg 0.500 0.251 0.899
Mg 0.500 0.500 0.138
Mg 0.500 0.500 0.662
Mg 0.500 0.749 0.899
Mg 0.500 0.751 0.399
Al 0.000 0.000 0.483
Al 0.000 0.500 0.983